{
  "formula": "SrAc2Eu",
  "functional": "GGA-PBE",
  "state": "optimized geometry",
  "de_polymorph_mev_per_atom": 33,
  "sg": "Fm-3m",
  "volume_a3_per_cell": 184.50,
  "lattice": [[6.390, 0.000, 0.000], [3.195, 5.534, 0.000], [3.195, 1.845, 5.217]],
  "species": ["Sr", "Ac", "Ac", "Eu"],
  "frac_coords": [[0.500, 0.500, 0.500], [0.250, 0.250, 0.250], [0.750, 0.750, 0.750], [0.000, 0.000, 0.000]]
}